Compound: Co6C13Se2O12
Source: the Open Quantum Materials Database
Functional: GGA+U
Structure: relaxed

Properties
The total energy is -6.94 eV/atom. As for the spin magnetization: 0.0 μB/f.u.

a b c (Å): 9.0774 9.0774 15.4699
angles (deg): 112.24 112.24 60.21
Fractional coordinates of all 66 atoms:
Co (0.0209, 0.7607, 0.3175)
Co (0.0953, 0.9047, 0.5000)
Co (0.2505, 0.4810, 0.3468)
Co (0.3148, 0.6792, 0.3122)
Co (0.3173, 0.6228, 0.5292)
Co (0.3927, 0.8128, 0.4946)
Co (0.4810, 0.2505, 0.8468)
Co (0.6228, 0.3173, 0.0292)
Co (0.6792, 0.3148, 0.8122)
Co (0.7607, 0.0209, 0.8175)
Co (0.8128, 0.3927, 0.9946)
Co (0.9047, 0.0953, 0.0000)
C (0.0086, 0.1226, 0.4937)
C (0.1186, 0.4054, 0.3598)
C (0.1226, 0.0086, 0.9937)
C (0.2091, 0.5586, 0.5721)
C (0.2305, 0.7105, 0.4167)
C (0.2855, 0.4413, 0.8416)
C (0.2909, 0.8457, 0.2687)
C (0.3804, 0.9967, 0.4752)
C (0.4054, 0.1186, 0.8598)
C (0.4413, 0.2855, 0.3416)
C (0.4528, 0.5235, 0.0518)
C (0.5235, 0.4528, 0.5518)
C (0.5305, 0.5333, 0.3084)
C (0.5333, 0.5305, 0.8084)
C (0.5586, 0.2091, 0.0721)
C (0.6212, 0.6988, 0.5238)
C (0.6988, 0.6212, 0.0238)
C (0.7105, 0.2305, 0.9167)
C (0.7542, 0.8281, 0.8137)
C (0.8281, 0.7542, 0.3137)
C (0.8457, 0.2909, 0.7687)
C (0.9163, 0.9175, 0.5250)
C (0.9175, 0.9163, 0.0250)
C (0.9292, 0.9501, 0.2766)
C (0.9501, 0.9292, 0.7766)
C (0.9967, 0.3804, 0.9752)
Se (0.1459, 0.5395, 0.1989)
Se (0.3175, 0.8799, 0.6345)
Se (0.5395, 0.1459, 0.6989)
Se (0.8799, 0.3175, 0.1345)
O (0.0323, 0.3544, 0.3687)
O (0.0728, 0.8700, 0.7472)
O (0.1176, 0.3763, 0.9633)
O (0.1482, 0.5107, 0.6038)
O (0.1551, 0.5650, 0.8383)
O (0.2674, 0.9496, 0.9920)
O (0.2769, 0.9553, 0.2411)
O (0.3380, 0.6586, 0.0671)
O (0.3544, 0.0323, 0.8687)
O (0.3763, 0.1176, 0.4633)
O (0.4338, 0.6728, 0.8056)
O (0.5107, 0.1482, 0.1038)
O (0.5650, 0.1551, 0.3383)
O (0.6279, 0.7716, 0.0464)
O (0.6586, 0.3380, 0.5671)
O (0.6728, 0.4338, 0.3056)
O (0.6978, 0.7547, 0.3096)
O (0.7547, 0.6978, 0.8096)
O (0.7716, 0.6279, 0.5464)
O (0.7949, 0.9327, 0.5420)
O (0.8700, 0.0728, 0.2472)
O (0.9327, 0.7949, 0.0420)
O (0.9496, 0.2674, 0.4920)
O (0.9553, 0.2769, 0.7411)